i.
Here is crystalline CrSiRh3 at its relaxed geometry from Alexandria. Energies are from PBE.

Calculated values
Magnetization   0.00 Bohr magnetons per cell
Space-group type   No. 221
Volume   17.47 A^3/atom
Fermi-level density of states   1.12 states/eV per atom

a = 4.437 Å, b = 4.437 Å, c = 4.437 Å
α = 90.00°, β = 90.00°, γ = 90.00°
Positions (direct):
Cr  0.000  0.000  0.000
Si  0.500  0.500  0.500
Rh  0.000  0.000  0.500
Rh  0.000  0.500  0.000
Rh  0.500  0.000  0.000

ii.
Here is crystalline CrSiRh3 at its relaxed geometry from Alexandria. Energies are from PBE.

Calculated values
Magnetization   0.34 Bohr magnetons per cell
Space-group type   No. 221
Volume   16.47 A^3/atom
Fermi-level density of states   1.90 states/eV per atom

a = 4.351 Å, b = 4.351 Å, c = 4.351 Å
α = 90.00°, β = 90.00°, γ = 90.00°
Positions (direct):
Cr  0.000  0.000  0.000
Si  0.500  0.500  0.500
Rh  0.000  0.500  0.500
Rh  0.500  0.000  0.500
Rh  0.500  0.500  0.000

Energies in eV/atom, measured from the most stable structure: i 0.345; ii 0.000.

i.
Here is crystalline SrCrRh at its relaxed geometry from Alexandria. Energies are from PBE.

Calculated values
Magnetization   4.37 Bohr magnetons per cell
Space-group type   No. 216
Volume   24.79 A^3/atom
Fermi-level density of states   1.57 states/eV per atom

a = 4.720 Å, b = 4.720 Å, c = 4.720 Å
α = 60.00°, β = 60.00°, γ = 60.00°
Positions (direct):
Sr  0.000  0.000  0.000
Cr  0.500  0.500  0.500
Rh  0.750  0.750  0.750

ii.
Here is crystalline SrCrRh at its relaxed geometry from Alexandria. Energies are from PBE.

Calculated values
Magnetization   3.63 Bohr magnetons per cell
Space-group type   No. 187
Volume   24.70 A^3/atom
Fermi-level density of states   1.42 states/eV per atom

a = 4.228 Å, b = 4.228 Å, c = 4.785 Å
α = 90.00°, β = 90.00°, γ = 120.00°
Positions (direct):
Sr  0.000  0.000  0.000
Cr  0.667  0.333  0.500
Rh  0.333  0.667  0.500

Energies in eV/atom, measured from the most stable structure: i 0.312; ii 0.000.